Computed, not measured: a geometry-optimized Rb2TlCd5 structure at the PBE-GGA level of DFT.

```
Rb2TlCd5
1.0
-2.9766 7.5724 -0.8050
1.9816 -5.6737 -5.5237
-3.5815 -7.0630 1.9787
Rb Tl Cd
2 1 5
Direct
0.5004 0.7158 0.2159
0.5003 0.2159 0.7158
0.0027 0.1004 0.1004
0.9995 0.7085 0.2221
0.5126 0.2212 0.2212
0.4865 0.7094 0.7094
0.9995 0.2221 0.7086
0.9986 0.3296 0.3296
```

Properties
ΔH_f (0 K) = -0.010 eV per atom
total energy = -8.96 eV/cell

Computed, not measured: a geometry-optimized MnTeIrN2 structure at the PBE-GGA level of DFT.

```
MnTeIrN2
1.0
3.7720 0.0000 0.0000
0.0000 3.7720 0.0000
0.0000 0.0000 7.3529
Ir Te Mn N
1 1 1 2
Direct
0.0000 0.0000 0.0000
0.0000 0.0000 0.5000
0.5000 0.5000 0.5000
0.0000 0.5000 0.0000
0.5000 0.0000 0.0000
```

Properties
relative energy among the computed polymorphs = 0 meV per atom
total energy = -33.60 eV/cell

Computed, not measured: a geometry-optimized TeAsIrAu structure at the PBE-GGA level of DFT.

```
TeAsIrAu
1.0
4.2669 -0.0164 -0.0571
-1.0568 4.5239 0.0426
-0.9175 -0.3307 4.6849
Te Ir Au As
1 1 1 1
Direct
0.8897 0.6168 0.4704
0.8458 0.1110 0.7522
0.4729 0.5462 0.8427
0.3741 0.0345 0.0275
```

Properties
relative energy among the computed polymorphs = 236 meV per atom
total energy = -19.29 eV/cell

Computed, not measured: a geometry-optimized Ce2UGe3Rh4 structure at the PBE-GGA level of DFT.

```
Ce2UGe3Rh4
1.0
-4.0985 1.0580 -0.2721
-1.0399 -4.1022 -0.2868
-0.8542 -0.5370 10.7771
Ce U Ge Rh
2 1 3 4
Direct
0.5000 0.0000 0.2341
0.0000 0.5000 0.7659
0.5000 0.5000 0.5000
0.0000 0.0000 0.5000
0.5000 0.0000 0.8770
0.0000 0.5000 0.1230
0.5000 0.5000 0.0000
0.0000 0.0000 0.0000
0.5000 0.0000 0.6494
0.0000 0.5000 0.3506
```

Properties
ΔH_f (0 K) = -0.765 eV per atom
total energy = -74.06 eV/cell

Computed, not measured: a geometry-optimized Al2ZnRu structure at the PBE-GGA level of DFT.

```
Al2ZnRu
1.0
3.2939 0.0000 0.0000
0.0000 3.2953 0.0000
0.0000 0.0000 5.3461
Ru Zn Al
1 1 2
Direct
0.0000 0.0000 0.4841
0.5000 0.5000 0.7544
0.0000 0.0000 0.9889
0.5000 0.5000 0.2726
```

Properties
ΔH_f (0 K) = -0.344 eV per atom
total energy = -19.41 eV/cell

Computed, not measured: a geometry-optimized LaAl3P2 structure at the PBE-GGA level of DFT.

```
LaAl3P2
1.0
2.8072 -4.8622 0.0000
2.8072 4.8622 0.0000
0.0000 0.0000 4.0685
La Al P
1 3 2
Direct
0.0000 0.0000 0.0000
0.5000 0.0000 0.5000
0.0000 0.5000 0.5000
0.5000 0.5000 0.5000
0.3333 0.6667 0.0000
0.6667 0.3333 0.0000
```

Properties
ΔH_f (0 K) = -0.489 eV per atom
total energy = -29.91 eV/cell

Computed, not measured: a geometry-optimized LaInPd structure at the PBE-GGA level of DFT.

```
LaInPd
1.0
-3.5452 2.2692 6.9806
-4.0944 0.5735 -7.0252
-1.3922 -3.7336 0.5066
La In Pd
3 3 3
Direct
0.0000 0.7211 0.5000
0.2789 0.2789 0.5000
0.7211 0.0000 0.5000
0.3880 0.0000 0.0000
0.6120 0.6120 0.0000
0.0000 0.3880 0.0000
0.6667 0.3333 0.5000
0.3333 0.6667 0.5000
0.0000 0.0000 0.0000
```

Properties
ΔH_f (0 K) = -0.534 eV per atom
total energy = -43.38 eV/cell

Computed, not measured: a geometry-optimized TlCuAs structure at the PBE-GGA level of DFT.

```
TlCuAs
1.0
6.8695 0.0160 -0.0171
6.1160 3.1287 -0.0292
0.7535 0.1958 3.1066
As Cu Tl
1 1 1
Direct
0.9511 0.9511 0.0489
0.3671 0.3671 0.6329
0.6818 0.6818 0.3182
```

Properties
relative energy among the computed polymorphs = 174 meV per atom
ΔH_f (0 K) = 0.174 eV per atom
total energy = -10.59 eV/cell

Computed, not measured: a geometry-optimized CeNi3S3 structure at the PBE-GGA level of DFT.

```
CeNi3S3
1.0
-1.0776 -1.1540 6.2747
3.4613 -4.5008 3.1027
5.1741 2.5660 4.6965
Ce Ni S
2 6 6
Direct
0.3333 0.3333 0.0002
0.6667 0.6667 0.9998
0.4657 0.7854 0.6259
0.7854 0.1230 0.6259
0.1230 0.4657 0.6259
0.8770 0.5343 0.3741
0.2146 0.8770 0.3741
0.5343 0.2146 0.3741
0.2376 0.5841 0.2689
0.9094 0.2376 0.2689
0.5841 0.9094 0.2689
0.4159 0.0906 0.7311
0.0906 0.7624 0.7311
0.7624 0.4159 0.7311
```

Properties
total energy = -83.75 eV/cell

Computed, not measured: a geometry-optimized Zn3HgS4 structure at the PBE-GGA level of DFT.

```
Zn3HgS4
1.0
-2.8736 4.9112 -3.0683
-4.1888 -4.3900 -3.1038
-5.1285 0.7025 5.9275
S Zn Hg
8 6 2
Direct
0.1363 0.8084 0.0000
0.5988 0.1608 0.0000
0.1376 0.3431 0.2650
0.6376 0.6569 0.2350
0.0988 0.8392 0.5000
0.6363 0.1916 0.5000
0.6376 0.6569 0.7650
0.1376 0.3431 0.7350
0.5014 0.8260 0.0000
0.0028 0.6641 0.2506
0.5028 0.3359 0.2494
0.0014 0.1740 0.5000
0.5028 0.3359 0.7506
0.0028 0.6641 0.7494
0.9980 0.1642 0.0000
0.4980 0.8358 0.5000
```

Properties
total energy = -51.31 eV/cell

Computed, not measured: a geometry-optimized PrGd2Ru structure at the PBE-GGA level of DFT.

```
PrGd2Ru
1.0
3.4768 0.0000 0.0000
0.0000 3.4768 0.0000
0.0000 0.0000 9.1792
Pr Ru Gd
1 1 2
Direct
0.5000 0.5000 0.5000
0.5000 0.5000 0.0000
0.0000 0.0000 0.8198
0.0000 0.0000 0.1802
```

Properties
relative energy among the computed polymorphs = 0 meV per atom
ΔH_f (0 K) = -0.180 eV per atom
total energy = -42.94 eV/cell

Computed, not measured: a geometry-optimized PrEr3Ni structure at the PBE-GGA level of DFT.

```
PrEr3Ni
1.0
5.2933 0.0000 0.0000
0.0000 5.2933 0.0000
0.0000 0.0000 5.2933
Pr Ni Er
1 1 3
Direct
0.5000 0.5000 0.5000
0.0000 0.0000 0.0000
0.0000 0.5000 0.0000
0.0000 0.0000 0.5000
0.5000 0.0000 0.0000
```

Properties
relative energy among the computed polymorphs = 15 meV per atom
ΔH_f (0 K) = -0.102 eV per atom
total energy = -24.76 eV/cell

| no. | spin magnetization (μB/atom) |
| --- | --- |
| 1 | 0.000 |
| 2 | 0.973 |
| 3 | 0.000 |
| 4 | 0.352 |
| 5 | 0.000 |
| 6 | 0.000 |
| 7 | 0.000 |
| 8 | 0.000 |
| 9 | 0.278 |
| 10 | 0.000 |
| 11 | 3.522 |
| 12 | 0.000 |